VASP calculation (GGA-PBE) on a geometry-optimized Tl4Cr3 structure.

Cell and atoms, written as POSCAR:
```
Tl4Cr3
1.0
5.7842 0.0000 0.0000
-2.8921 5.0093 0.0000
0.0000 0.0000 5.6841
Tl Cr
4 3
Cartesian
0.0000 0.0000 1.4210 Tl
0.0000 0.0000 4.2631 Tl
0.0000 3.3395 0.0000 Tl
2.8921 1.6698 0.0000 Tl
-1.4461 2.5046 2.8421 Cr
2.8921 0.0000 2.8421 Cr
1.4461 2.5046 2.8421 Cr
```

Computed properties:
The size of the total moment comes out at 12.28 μB per cell. The formation energy is 0.7223 eV per atom.

VASP calculation (GGA-PBE) on a geometry-optimized AcPr3Pb3 structure.

Cell and atoms, written as POSCAR:
```
AcPr3Pb3
1.0
9.8509 0.0000 0.0000
-4.9254 8.5311 0.0000
0.0000 0.0000 5.6692
Ac Pr Pb
2 6 6
Cartesian
0.0000 5.6874 1.4173 Ac
4.9255 2.8437 4.2519 Ac
-3.7328 6.4892 4.2519 Pr
1.1720 2.0539 4.2519 Pr
2.3647 0.0119 1.4173 Pr
2.5607 8.5192 4.2519 Pr
3.7535 6.4773 1.4173 Pr
8.6582 2.0419 1.4173 Pr
-1.4816 3.8323 4.2519 Pb
-0.8657 7.8981 4.2519 Pb
2.5781 3.1993 1.4173 Pb
2.3474 5.3318 4.2519 Pb
5.7912 0.6330 1.4173 Pb
6.4071 4.6988 1.4173 Pb
```

Computed properties:
The size of the total moment comes out at 0.00 μB per cell. The formation energy is -0.4002 eV per atom.